A plane-wave DFT calculation with PBE was carried out for a geometry-optimized KSe2 structure.

Results
space group	I4_1/amd
DOS at the Fermi energy	2.2	states/eV per cell

abc: 9.8252 9.8252 9.8252
angles: 153.11 153.11 38.40
Fractional coordinates of all 6 atoms:
K 0.3750 0.6250 0.7500
K 0.6250 0.3750 0.2500
Se 0.0282 0.7782 0.2500
Se 0.2218 0.9718 0.2500
Se 0.7782 0.0282 0.7500
Se 0.9718 0.2218 0.7500



A plane-wave DFT calculation with PBE was carried out for a geometry-optimized KSe2 structure.

Results
space group	P1

abc: 5.2290 5.9988 7.1724
angles: 78.71 82.21 71.21
Fractional coordinates of all 6 atoms:
K 0.0000 0.0000 0.0000
K 0.1758 0.5340 0.5829
Se 0.3404 0.2965 0.1673
Se 0.5479 0.9071 0.3537
Se 0.5608 0.5682 0.9143
Se 0.5832 0.9549 0.6783



A plane-wave DFT calculation with PBE was carried out for a geometry-optimized KSe4 structure.

Results
space group	Pm-3m
DOS at the Fermi energy	6.9	states/eV per cell

abc: 6.1200 6.1200 6.1200
angles: 90.00 90.00 90.00
Fractional coordinates of all 5 atoms:
K 0.0000 0.0000 0.0000
Se 0.0000 0.0000 0.5000
Se 0.0000 0.5000 0.0000
Se 0.5000 0.0000 0.0000
Se 0.5000 0.5000 0.5000



A plane-wave DFT calculation with PBE was carried out for a geometry-optimized KSe2 structure.

Results
space group	P1

abc: 5.3654 6.4561 6.6906
angles: 80.25 89.54 65.51
Fractional coordinates of all 6 atoms:
K 0.0000 0.0000 0.0000
K 0.3088 0.3839 0.4915
Se 0.2134 0.4410 0.9812
Se 0.6293 0.7872 0.5655
Se 0.7266 0.5940 0.9329
Se 0.9606 0.9433 0.5110



no.,formation energy without anion corrections (eV/atom),spin magnetization (μB/f.u.)
1,-0.635,0.0
2,-0.651,0.0
3,1.142,7.0
4,-0.661,0.0